Model P:
# K2Br3 (PBE, relaxed)
# * DOS(E_F): 8.63 states/eV/f.u.
data_K2Br3
_chemical_formula_sum 'K2 Br3'
_space_group_name_H-M_alt 'P -3 m 1'
_space_group_IT_number 164
_space_group_name_Hall '-P 3 2"'
_cell_length_a 5.7224
_cell_length_b 5.7224
_cell_length_c 6.7545
_cell_angle_alpha 90.00
_cell_angle_beta 90.00
_cell_angle_gamma 120.00
loop_
_atom_site_label
_atom_site_type_symbol
_atom_site_fract_x
_atom_site_fract_y
_atom_site_fract_z
K1 K 0.3333 0.6667 0.2806
Br1 Br 0.0000 0.0000 0.5000
Br2 Br 0.3333 0.6667 0.7863

---

Model Q:
# K2Br3 (PBE, relaxed)
# * DOS(E_F): 0.02 states/eV/f.u.
data_K2Br3
_chemical_formula_sum 'K4 Br6'
_space_group_name_H-M_alt 'P 1'
_space_group_IT_number 1
_space_group_name_Hall 'P 1'
_cell_length_a 4.768
_cell_length_b 8.752
_cell_length_c 10.617
_cell_angle_alpha 86.52
_cell_angle_beta 77.08
_cell_angle_gamma 74.26
loop_
_atom_site_label
_atom_site_type_symbol
_atom_site_fract_x
_atom_site_fract_y
_atom_site_fract_z
K1 K 0.000 0.000 0.000
K2 K 0.016 0.960 0.499
K3 K 0.178 0.460 0.177
K4 K 0.662 0.500 0.676
Br1 Br 0.242 0.566 0.458
Br2 Br 0.343 0.230 0.588
Br3 Br 0.362 0.066 0.219
Br4 Br 0.443 0.894 0.718
Br5 Br 0.593 0.730 0.088
Br6 Br 0.822 0.394 0.959

---

Model R:
# K2Br3 (PBE, relaxed)
# * DOS(E_F): 8.90 states/eV/f.u.
data_K2Br3
_chemical_formula_sum 'K6 Br9'
_space_group_name_H-M_alt 'R -3 m'
_space_group_IT_number 166
_space_group_name_Hall '-R 3 2"'
_cell_length_a 5.0600
_cell_length_b 5.0600
_cell_length_c 26.2325
_cell_angle_alpha 90.00
_cell_angle_beta 90.00
_cell_angle_gamma 120.00
loop_
_atom_site_label
_atom_site_type_symbol
_atom_site_fract_x
_atom_site_fract_y
_atom_site_fract_z
K1 K 0.0000 0.0000 0.0975
Br1 Br 0.0000 0.0000 0.2918
Br2 Br 0.0000 0.0000 0.5000

---

Q: Which of them is the least stable? A: model R.

---

Model P:
# KLa2Br (PBE, relaxed)
# * DOS(E_F): 2.67 states/eV/f.u.
data_KLa2Br
_chemical_formula_sum 'K2 La4 Br2'
_space_group_name_H-M_alt 'C m m 2'
_space_group_IT_number 35
_space_group_name_Hall 'C 2 -2'
_cell_length_a 4.190
_cell_length_b 6.439
_cell_length_c 11.346
_cell_angle_alpha 90.00
_cell_angle_beta 90.00
_cell_angle_gamma 90.00
loop_
_atom_site_label
_atom_site_type_symbol
_atom_site_fract_x
_atom_site_fract_y
_atom_site_fract_z
K1 K 0.000 0.000 0.000
La1 La 0.000 0.000 0.428
La2 La 0.000 0.500 0.671
Br1 Br 0.000 0.500 0.221

---

Model Q:
# KLa2Br (PBE, relaxed)
# * DOS(E_F): 6.14 states/eV/f.u.
data_KLa2Br
_chemical_formula_sum 'K3 La6 Br3'
_space_group_name_H-M_alt 'R -3 m'
_space_group_IT_number 166
_space_group_name_Hall '-R 3 2"'
_cell_length_a 3.8143
_cell_length_b 3.8143
_cell_length_c 37.1107
_cell_angle_alpha 90.00
_cell_angle_beta 90.00
_cell_angle_gamma 120.00
loop_
_atom_site_label
_atom_site_type_symbol
_atom_site_fract_x
_atom_site_fract_y
_atom_site_fract_z
K1 K 0.0000 0.0000 0.0000
La1 La 0.0000 0.0000 0.2303
Br1 Br 0.0000 0.0000 0.5000

---

Q: Which of them is the least stable? A: model Q.

---

Model P:
# KLa2Br (PBE, relaxed)
# * DOS(E_F): 4.61 states/eV/f.u.
data_KLa2Br
_chemical_formula_sum 'K2 La4 Br2'
_space_group_name_H-M_alt 'C 1 2/m 1'
_space_group_IT_number 12
_space_group_name_Hall '-C 2y'
_cell_length_a 6.779
_cell_length_b 13.611
_cell_length_c 3.719
_cell_angle_alpha 90.00
_cell_angle_beta 122.55
_cell_angle_gamma 90.00
loop_
_atom_site_label
_atom_site_type_symbol
_atom_site_fract_x
_atom_site_fract_y
_atom_site_fract_z
K1 K 0.000 0.000 0.000
La1 La 0.250 0.250 0.500
Br1 Br 0.000 0.500 0.000

---

Model Q:
# KLa2Br (PBE, relaxed)
# * DOS(E_F): 3.44 states/eV/f.u.
data_KLa2Br
_chemical_formula_sum 'K4 La8 Br4'
_space_group_name_H-M_alt 'I 41/a m d'
_space_group_IT_number 141
_cell_length_a 6.066
_cell_length_b 6.066
_cell_length_c 21.676
_cell_angle_alpha 90.00
_cell_angle_beta 90.00
_cell_angle_gamma 90.00
loop_
_space_group_symop_operation_xyz
'x,y,z'
'-x,-y,-z'
'-y+1/4,x+3/4,z+1/4'
'y+1/4,-x+3/4,-z+1/4'
'-x+1/2,-y,z+1/2'
'x+1/2,y,-z+1/2'
'y+1/4,-x+1/4,z+3/4'
'-y+1/4,x+1/4,-z+3/4'
'x,-y,-z'
'-x,y,z'
'-y+1/4,-x+1/4,-z+3/4'
'y+1/4,x+1/4,z+3/4'
'-x+1/2,y,-z+1/2'
'x+1/2,-y,z+1/2'
'y+1/4,x+3/4,-z+1/4'
'-y+1/4,-x+3/4,z+1/4'
'x+1/2,y+1/2,z+1/2'
'-x+1/2,-y+1/2,-z+1/2'
'-y+3/4,x+1/4,z+3/4'
'y+3/4,-x+1/4,-z+3/4'
'-x,-y+1/2,z'
'x,y+1/2,-z'
'y+3/4,-x+3/4,z+1/4'
'-y+3/4,x+3/4,-z+1/4'
'x+1/2,-y+1/2,-z+1/2'
'-x+1/2,y+1/2,z+1/2'
'-y+3/4,-x+3/4,-z+1/4'
'y+3/4,x+3/4,z+1/4'
'-x,y+1/2,-z'
'x,-y+1/2,z'
'y+3/4,x+1/4,-z+3/4'
'-y+3/4,-x+1/4,z+3/4'
loop_
_atom_site_label
_atom_site_type_symbol
_atom_site_fract_x
_atom_site_fract_y
_atom_site_fract_z
K1 K 0.000 0.250 0.375
La1 La 0.000 0.000 0.000
Br1 Br 0.000 0.250 0.875

---

Q: Which of them is the least stable? A: model Q.

---

Model P:
# KLa2Br (PBE, relaxed)
# * DOS(E_F): 5.60 states/eV/f.u.
data_KLa2Br
_chemical_formula_sum 'K2 La4 Br2'
_space_group_name_H-M_alt 'I m m 2'
_space_group_IT_number 44
_space_group_name_Hall 'I 2 -2'
_cell_length_a 3.773
_cell_length_b 6.997
_cell_length_c 12.185
_cell_angle_alpha 90.00
_cell_angle_beta 90.00
_cell_angle_gamma 90.00
loop_
_atom_site_label
_atom_site_type_symbol
_atom_site_fract_x
_atom_site_fract_y
_atom_site_fract_z
K1 K 0.000 0.000 0.000
La1 La 0.000 0.000 0.575
La2 La 0.000 0.500 0.820
Br1 Br 0.000 0.500 0.278

---

Model Q:
# KLa2Br (PBE, relaxed)
# * DOS(E_F): 5.67 states/eV/f.u.
data_KLa2Br
_chemical_formula_sum 'K1 La2 Br1'
_space_group_name_H-M_alt 'P 4 m m'
_space_group_IT_number 99
_space_group_name_Hall 'P 4 -2'
_cell_length_a 3.732
_cell_length_b 3.732
_cell_length_c 10.808
_cell_angle_alpha 90.00
_cell_angle_beta 90.00
_cell_angle_gamma 90.00
loop_
_atom_site_label
_atom_site_type_symbol
_atom_site_fract_x
_atom_site_fract_y
_atom_site_fract_z
K1 K 0.000 0.000 0.000
La1 La 0.000 0.000 0.587
La2 La 0.500 0.500 0.337
Br1 Br 0.500 0.500 0.795

---

Q: Which of them is the least stable? A: model P.

---

Model P:
# KLa2Br (PBE, relaxed)
# * DOS(E_F): 5.79 states/eV/f.u.
data_KLa2Br
_chemical_formula_sum 'K2 La4 Br2'
_space_group_name_H-M_alt 'C m m m'
_space_group_IT_number 65
_space_group_name_Hall '-C 2 2'
_cell_length_a 3.836
_cell_length_b 6.518
_cell_length_c 12.595
_cell_angle_alpha 90.00
_cell_angle_beta 90.00
_cell_angle_gamma 90.00
loop_
_atom_site_label
_atom_site_type_symbol
_atom_site_fract_x
_atom_site_fract_y
_atom_site_fract_z
K1 K 0.000 0.000 0.000
La1 La 0.000 0.500 0.301
Br1 Br 0.000 0.000 0.500

---

Model Q:
# KLa2Br (PBE, relaxed)
# * DOS(E_F): 4.47 states/eV/f.u.
data_KLa2Br
_chemical_formula_sum 'K4 La8 Br4'
_space_group_name_H-M_alt 'F m -3 m'
_space_group_IT_number 225
_space_group_name_Hall '-F 4 2 3'
_cell_length_a 8.267
_cell_length_b 8.267
_cell_length_c 8.267
_cell_angle_alpha 90.00
_cell_angle_beta 90.00
_cell_angle_gamma 90.00
loop_
_atom_site_label
_atom_site_type_symbol
_atom_site_fract_x
_atom_site_fract_y
_atom_site_fract_z
K1 K 0.000 0.000 0.000
La1 La 0.250 0.250 0.250
Br1 Br 0.000 0.000 0.500

---

Q: Which of them is the least stable? A: model Q.

---

Model P:
# K2LaBr2 (PBE, relaxed)
# * DOS(E_F): 3.81 states/eV/f.u.
data_K2LaBr2
_chemical_formula_sum 'K4 La2 Br4'
_space_group_name_H-M_alt 'I 4/m m m'
_space_group_IT_number 139
_space_group_name_Hall '-I 4 2'
_cell_length_a 4.545
_cell_length_b 4.545
_cell_length_c 15.929
_cell_angle_alpha 90.00
_cell_angle_beta 90.00
_cell_angle_gamma 90.00
loop_
_atom_site_label
_atom_site_type_symbol
_atom_site_fract_x
_atom_site_fract_y
_atom_site_fract_z
K1 K 0.000 0.500 0.250
La1 La 0.000 0.000 0.000
Br1 Br 0.000 0.000 0.399

---

Model Q:
# K2LaBr2 (PBE, relaxed)
# * DOS(E_F): 4.81 states/eV/f.u.
data_K2LaBr2
_chemical_formula_sum 'K4 La2 Br4'
_space_group_name_H-M_alt 'P 4/m b m'
_space_group_IT_number 127
_space_group_name_Hall '-P 4 2ab'
_cell_length_a 9.045
_cell_length_b 9.045
_cell_length_c 4.264
_cell_angle_alpha 90.00
_cell_angle_beta 90.00
_cell_angle_gamma 90.00
loop_
_atom_site_label
_atom_site_type_symbol
_atom_site_fract_x
_atom_site_fract_y
_atom_site_fract_z
K1 K 0.143 0.357 0.000
La1 La 0.000 0.000 0.500
Br1 Br 0.162 0.662 0.500

---

Q: Which of them is the least stable? A: model P.

---

Model P:
# K2LaBr5 (PBE, relaxed)
# * DOS(E_F): 0.00 states/eV/f.u.
data_K2LaBr5
_chemical_formula_sum 'K8 La4 Br20'
_space_group_name_H-M_alt 'P n m a'
_space_group_IT_number 62
_space_group_name_Hall '-P 2ac 2n'
_cell_length_a 13.690
_cell_length_b 9.354
_cell_length_c 8.641
_cell_angle_alpha 90.00
_cell_angle_beta 90.00
_cell_angle_gamma 90.00
loop_
_atom_site_label
_atom_site_type_symbol
_atom_site_fract_x
_atom_site_fract_y
_atom_site_fract_z
K1 K 0.173 0.003 0.048
La1 La 0.006 0.250 0.576
Br1 Br 0.008 0.250 0.926
Br2 Br 0.081 0.544 0.664
Br3 Br 0.180 0.250 0.368
Br4 Br 0.206 0.750 0.331

---

Model Q:
# K2LaBr5 (PBE, relaxed)
# * DOS(E_F): 0.00 states/eV/f.u.
data_K2LaBr5
_chemical_formula_sum 'K8 La4 Br20'
_space_group_name_H-M_alt 'C m c m'
_space_group_IT_number 63
_space_group_name_Hall '-C 2c 2'
_cell_length_a 6.019
_cell_length_b 16.417
_cell_length_c 15.394
_cell_angle_alpha 90.00
_cell_angle_beta 90.00
_cell_angle_gamma 90.00
loop_
_atom_site_label
_atom_site_type_symbol
_atom_site_fract_x
_atom_site_fract_y
_atom_site_fract_z
K1 K 0.000 0.146 0.064
La1 La 0.000 0.175 0.750
Br1 Br 0.000 0.046 0.623
Br2 Br 0.000 0.289 0.601
Br3 Br 0.000 0.291 0.250

---

Q: Which of them is the least stable? A: model Q.

---

Model P:
# KLi2Br (PBE, relaxed)
# * DOS(E_F): 1.02 states/eV/f.u.
data_KLi2Br
_chemical_formula_sum 'K1 Li2 Br1'
_space_group_name_H-M_alt 'P 1 m 1'
_space_group_IT_number 6
_space_group_name_Hall 'P -2y'
_cell_length_a 4.279
_cell_length_b 3.964
_cell_length_c 7.548
_cell_angle_alpha 90.00
_cell_angle_beta 106.25
_cell_angle_gamma 90.00
loop_
_atom_site_label
_atom_site_type_symbol
_atom_site_fract_x
_atom_site_fract_y
_atom_site_fract_z
K1 K 0.000 0.000 0.000
Li1 Li 0.313 0.500 0.630
Li2 Li 0.734 0.000 0.473
Br1 Br 0.618 0.500 0.238

---

Model Q:
# KLi2Br (PBE, relaxed)
# * DOS(E_F): 2.15 states/eV/f.u.
data_KLi2Br
_chemical_formula_sum 'K2 Li4 Br2'
_space_group_name_H-M_alt 'C m m m'
_space_group_IT_number 65
_space_group_name_Hall '-C 2 2'
_cell_length_a 3.915
_cell_length_b 7.099
_cell_length_c 10.330
_cell_angle_alpha 90.00
_cell_angle_beta 90.00
_cell_angle_gamma 90.00
loop_
_atom_site_label
_atom_site_type_symbol
_atom_site_fract_x
_atom_site_fract_y
_atom_site_fract_z
K1 K 0.000 0.000 0.000
Li1 Li 0.000 0.500 0.335
Br1 Br 0.000 0.000 0.500

---

Model R:
# KLi2Br (PBE, relaxed)
# * DOS(E_F): 1.43 states/eV/f.u.
data_KLi2Br
_chemical_formula_sum 'K2 Li4 Br2'
_space_group_name_H-M_alt 'I m m m'
_space_group_IT_number 71
_space_group_name_Hall '-I 2 2'
_cell_length_a 3.605
_cell_length_b 5.615
_cell_length_c 12.150
_cell_angle_alpha 90.00
_cell_angle_beta 90.00
_cell_angle_gamma 90.00
loop_
_atom_site_label
_atom_site_type_symbol
_atom_site_fract_x
_atom_site_fract_y
_atom_site_fract_z
K1 K 0.000 0.000 0.000
Li1 Li 0.000 0.500 0.190
Br1 Br 0.000 0.000 0.500

---

Q: Which of them is the least stable? A: model Q.

---

Model P:
# KLi2Br (PBE, relaxed)
# * DOS(E_F): 2.01 states/eV/f.u.
data_KLi2Br
_chemical_formula_sum 'K2 Li4 Br2'
_space_group_name_H-M_alt 'I m m 2'
_space_group_IT_number 44
_space_group_name_Hall 'I 2 -2'
_cell_length_a 3.874
_cell_length_b 7.361
_cell_length_c 10.693
_cell_angle_alpha 90.00
_cell_angle_beta 90.00
_cell_angle_gamma 90.00
loop_
_atom_site_label
_atom_site_type_symbol
_atom_site_fract_x
_atom_site_fract_y
_atom_site_fract_z
K1 K 0.000 0.000 0.000
Li1 Li 0.000 0.000 0.391
Li2 Li 0.000 0.500 0.145
Br1 Br 0.000 0.500 0.746

---

Model Q:
# KLi2Br (PBE, relaxed)
# * DOS(E_F): 0.99 states/eV/f.u.
data_KLi2Br
_chemical_formula_sum 'K1 Li2 Br1'
_space_group_name_H-M_alt 'P 4 m m'
_space_group_IT_number 99
_space_group_name_Hall 'P 4 -2'
_cell_length_a 3.893
_cell_length_b 3.893
_cell_length_c 7.580
_cell_angle_alpha 90.00
_cell_angle_beta 90.00
_cell_angle_gamma 90.00
loop_
_atom_site_label
_atom_site_type_symbol
_atom_site_fract_x
_atom_site_fract_y
_atom_site_fract_z
K1 K 0.000 0.000 0.000
Li1 Li 0.000 0.000 0.520
Li2 Li 0.500 0.500 0.344
Br1 Br 0.500 0.500 0.701

---

Q: Which of them is the least stable? A: model P.

---

Model P:
# KLiBr (PBE, relaxed)
# * DOS(E_F): 1.57 states/eV/f.u.
data_KLiBr
_chemical_formula_sum 'K4 Li4 Br4'
_space_group_name_H-M_alt 'F -4 3 m'
_space_group_IT_number 216
_space_group_name_Hall 'F -4 2 3'
_cell_length_a 7.889
_cell_length_b 7.889
_cell_length_c 7.889
_cell_angle_alpha 90.00
_cell_angle_beta 90.00
_cell_angle_gamma 90.00
loop_
_atom_site_label
_atom_site_type_symbol
_atom_site_fract_x
_atom_site_fract_y
_atom_site_fract_z
K1 K 0.000 0.000 0.000
Li1 Li 0.250 0.250 0.750
Br1 Br 0.250 0.250 0.250

---

Model Q:
# KLiBr (PBE, relaxed)
# * DOS(E_F): 1.04 states/eV/f.u.
data_KLiBr
_chemical_formula_sum 'K2 Li2 Br2'
_space_group_name_H-M_alt 'P 1 2/m 1'
_space_group_IT_number 10
_space_group_name_Hall '-P 2y'
_cell_length_a 7.070
_cell_length_b 4.112
_cell_length_c 7.610
_cell_angle_alpha 90.00
_cell_angle_beta 99.82
_cell_angle_gamma 90.00
loop_
_atom_site_label
_atom_site_type_symbol
_atom_site_fract_x
_atom_site_fract_y
_atom_site_fract_z
K1 K 0.219 0.000 0.325
Li1 Li 0.290 0.500 0.836
Br1 Br 0.000 0.500 0.000
Br2 Br 0.500 0.000 0.000

---

Q: Which of them is the least stable? A: model P.

---

Model P:
# KLiBr (PBE, relaxed)
# * DOS(E_F): 0.81 states/eV/f.u.
data_KLiBr
_chemical_formula_sum 'K2 Li2 Br2'
_space_group_name_H-M_alt 'P 4/n m m'
_space_group_IT_number 129
_cell_length_a 4.488
_cell_length_b 4.488
_cell_length_c 13.784
_cell_angle_alpha 90.00
_cell_angle_beta 90.00
_cell_angle_gamma 90.00
loop_
_space_group_symop_operation_xyz
'x,y,z'
'-x,-y,-z'
'-y+1/2,x,z'
'y+1/2,-x,-z'
'-x+1/2,-y+1/2,z'
'x+1/2,y+1/2,-z'
'y,-x+1/2,z'
'-y,x+1/2,-z'
'x+1/2,-y,-z'
'-x+1/2,y,z'
'-y,-x,-z'
'y,x,z'
'-x,y+1/2,-z'
'x,-y+1/2,z'
'y+1/2,x+1/2,-z'
'-y+1/2,-x+1/2,z'
loop_
_atom_site_label
_atom_site_type_symbol
_atom_site_fract_x
_atom_site_fract_y
_atom_site_fract_z
K1 K 0.250 0.250 0.128
Li1 Li 0.250 0.750 0.500
Br1 Br 0.250 0.250 0.590

---

Model Q:
# KLiBr (PBE, relaxed)
# * DOS(E_F): 1.09 states/eV/f.u.
data_KLiBr
_chemical_formula_sum 'K2 Li2 Br2'
_space_group_name_H-M_alt 'I 4 m m'
_space_group_IT_number 107
_space_group_name_Hall 'I 4 -2'
_cell_length_a 3.761
_cell_length_b 3.761
_cell_length_c 13.880
_cell_angle_alpha 90.00
_cell_angle_beta 90.00
_cell_angle_gamma 90.00
loop_
_atom_site_label
_atom_site_type_symbol
_atom_site_fract_x
_atom_site_fract_y
_atom_site_fract_z
K1 K 0.000 0.000 0.000
Li1 Li 0.000 0.000 0.738
Br1 Br 0.000 0.000 0.325

---

Model R:
# KLiBr (PBE, relaxed)
# * DOS(E_F): 0.33 states/eV/f.u.
data_KLiBr
_chemical_formula_sum 'K2 Li2 Br2'
_space_group_name_H-M_alt 'P 1 m 1'
_space_group_IT_number 6
_space_group_name_Hall 'P -2y'
_cell_length_a 6.844
_cell_length_b 5.818
_cell_length_c 6.873
_cell_angle_alpha 90.00
_cell_angle_beta 118.67
_cell_angle_gamma 90.00
loop_
_atom_site_label
_atom_site_type_symbol
_atom_site_fract_x
_atom_site_fract_y
_atom_site_fract_z
K1 K 0.000 0.000 0.000
K2 K 0.283 0.500 0.721
Li1 Li 0.634 0.250 0.350
Br1 Br 0.759 0.500 0.699
Br2 Br 0.985 0.000 0.478

---

Q: Which of them is the least stable? A: model Q.